Record 1
A geometry-optimized Sr3Y2 structure. Source: Alexandria via LeMat-Bulk, functional PBE.

Cell: 6.0906 6.0906 7.5695 Å, 90.00 90.00 120.00°
Atoms (fractional coordinates):
Sr: 0.0000 0.0000 0.0000
Sr: 0.3333 0.6667 0.3643
Sr: 0.6667 0.3333 0.6357
Y: 0.3333 0.6667 0.8965
Y: 0.6667 0.3333 0.1035

Results
* size of the total moment: 0.00 μB/cell
* E above lowest polymorph: 162 meV per atom
* ΔH_f (0 K): 0.380 eV/atom
* symmetry: P-3m1 (164)

=====

Record 2
A geometry-optimized TiBiAs structure. Source: Alexandria via LeMat-Bulk, functional PBE.

Cell: 3.5023 3.5023 14.4592 Å, 90.00 90.00 120.00°
Atoms (fractional coordinates):
Ti: 0.1682 0.8318 0.5000
Ti: 0.8318 0.1682 0.0000
Bi: 0.1651 0.8349 0.8334
Bi: 0.8349 0.1651 0.3334
As: 0.4986 0.5014 0.0985
As: 0.5014 0.4986 0.5985

Results
* size of the total moment: 0.00 μB/cell
* ΔH_f (0 K): -0.168 eV/atom
* symmetry: Cmc2_1 (36)

=====

Record 3
A geometry-optimized KAlCo2 structure. Source: Alexandria via LeMat-Bulk, functional PBE.

Cell: 4.7191 4.7191 6.6794 Å, 100.26 100.26 34.50°
Atoms (fractional coordinates):
K: 0.0000 0.0000 0.0000
Al: 0.8027 0.8027 0.4240
Co: 0.2055 0.2055 0.6636
Co: 0.5288 0.5288 0.4848

Results
* size of the total moment: 2.44 μB/cell
* ΔH_f (0 K): 0.458 eV/atom
* symmetry: Cm (8)

=====

Record 4
A geometry-optimized InWBr2 structure. Source: Alexandria via LeMat-Bulk, functional PBE.

Cell: 3.2500 3.2500 8.7461 Å, 90.00 90.00 90.00°
Atoms (fractional coordinates):
In: 0.0000 0.0000 0.0000
W: 0.5000 0.5000 0.2185
Br: 0.0000 0.0000 0.3931
Br: 0.5000 0.5000 0.7730

Results
* size of the total moment: 0.63 μB/cell
* E above lowest polymorph: 292 meV per atom
* energy relative to the elements, uncorrected: 0.4135 eV per atom
* symmetry: P4mm (99)

=====

Record 5
A geometry-optimized LiEuAlPt structure. Source: Alexandria via LeMat-Bulk, functional PBE.

Cell: 4.7770 4.7770 4.7770 Å, 60.00 60.00 60.00°
Atoms (fractional coordinates):
Li: 0.0000 0.0000 0.0000
Eu: 0.7500 0.7500 0.7500
Al: 0.2500 0.2500 0.2500
Pt: 0.5000 0.5000 0.5000

Results
* size of the total moment: 7.19 μB/cell
* ΔH_f (0 K): -0.523 eV/atom
* symmetry: F-43m (216)

=====

Record 6
A geometry-optimized Nb2SiP structure. Source: Alexandria via LeMat-Bulk, functional PBE.

Cell: 8.0865 8.0865 8.0865 Å, 24.42 24.42 24.42°
Atoms (fractional coordinates):
Nb: 0.1069 0.1069 0.1069
Nb: 0.8931 0.8931 0.8931
Si: 0.0000 0.0000 0.0000
P: 0.5000 0.5000 0.5000

Results
* size of the total moment: 0.00 μB/cell
* E above lowest polymorph: 376 meV per atom
* energy relative to the elements, uncorrected: 0.0046 eV per atom
* symmetry: R-3m (166)

=====

Record 7
A geometry-optimized YTlBi2O6 structure. Source: Alexandria via LeMat-Bulk, functional PBE.

Cell: 6.1789 6.1789 6.1789 Å, 58.48 58.48 58.48°
Atoms (fractional coordinates):
Y: 0.0000 0.0000 0.0000
Tl: 0.5032 0.5032 0.5032
Bi: 0.2880 0.2880 0.2880
Bi: 0.7841 0.7841 0.7841
O: 0.1238 0.6847 0.3593
O: 0.1797 0.6306 0.8601
O: 0.3593 0.1238 0.6847
O: 0.6306 0.8601 0.1797
O: 0.6847 0.3593 0.1238
O: 0.8601 0.1797 0.6306

Results
* size of the total moment: 0.00 μB/cell
* energy relative to the elements, uncorrected: -1.6368 eV per atom
* symmetry: R3 (146)

=====

Record 8
A geometry-optimized LaPrZnSn structure. Source: Alexandria via LeMat-Bulk, functional PBE.

Cell: 5.4355 5.4355 5.4355 Å, 60.00 60.00 60.00°
Atoms (fractional coordinates):
La: 0.0000 0.0000 0.0000
Pr: 0.5000 0.5000 0.5000
Zn: 0.7500 0.7500 0.7500
Sn: 0.2500 0.2500 0.2500

Results
* size of the total moment: 0.00 μB/cell
* ΔH_f (0 K): -0.532 eV/atom
* symmetry: F-43m (216)

=====

Record 9
A geometry-optimized Al2AuBr structure. Source: Alexandria via LeMat-Bulk, functional PBE.

Cell: 3.2201 3.2201 8.2203 Å, 90.00 90.00 90.00°
Atoms (fractional coordinates):
Al: 0.0000 0.0000 0.0000
Al: 0.5000 0.5000 0.2354
Au: 0.0000 0.0000 0.4015
Br: 0.5000 0.5000 0.7875

Results
* size of the total moment: 0.00 μB/cell
* E above lowest polymorph: 281 meV per atom
* energy relative to the elements, uncorrected: -0.0740 eV per atom
* symmetry: P4mm (99)

=====

Record 10
A geometry-optimized Er12Tm7Tl structure. Source: Alexandria via LeMat-Bulk, functional PBE.

Cell: 8.5984 8.5984 8.5984 Å, 99.95 99.95 99.95°
Atoms (fractional coordinates):
Er: 0.1464 0.1464 0.4169
Er: 0.1464 0.4169 0.1464
Er: 0.1678 0.6004 0.6004
Er: 0.3996 0.3996 0.8322
Er: 0.3996 0.8322 0.3996
Er: 0.4169 0.1464 0.1464
Er: 0.5831 0.8536 0.8536
Er: 0.6004 0.1678 0.6004
Er: 0.6004 0.6004 0.1678
Er: 0.8322 0.3996 0.3996
Er: 0.8536 0.5831 0.8536
Er: 0.8536 0.8536 0.5831
Tm: 0.0000 0.2561 0.7439
Tm: 0.0000 0.7439 0.2561
Tm: 0.2561 0.0000 0.7439
Tm: 0.2561 0.7439 0.0000
Tm: 0.5000 0.5000 0.5000
Tm: 0.7439 0.0000 0.2561
Tm: 0.7439 0.2561 0.0000
Tl: 0.0000 0.0000 0.0000

Results
* size of the total moment: 0.00 μB/cell
* ΔH_f (0 K): 0.094 eV/atom
* symmetry: R-3m (166)

=====

Record 11
A geometry-optimized PrTmGa2Pd5 structure. Source: Alexandria via LeMat-Bulk, functional PBE.

Cell: 4.2484 4.2484 9.2883 Å, 90.00 90.00 90.00°
Atoms (fractional coordinates):
Pr: 0.0000 0.0000 0.0000
Tm: 0.0000 0.0000 0.5000
Ga: 0.5000 0.5000 0.3684
Ga: 0.5000 0.5000 0.6316
Pd: 0.0000 0.5000 0.2307
Pd: 0.0000 0.5000 0.7693
Pd: 0.5000 0.0000 0.2307
Pd: 0.5000 0.0000 0.7693
Pd: 0.5000 0.5000 0.0000

Results
* size of the total moment: 0.00 μB/cell
* ΔH_f (0 K): -0.754 eV/atom
* symmetry: P4/mmm (123)

=====

Record 12
A geometry-optimized NaFeP2Ru structure. Source: Alexandria via LeMat-Bulk, functional PBE.

Cell: 5.5306 5.5306 5.5306 Å, 138.21 138.21 60.58°
Atoms (fractional coordinates):
Na: 0.0000 0.0000 0.0000
Fe: 0.7500 0.2500 0.5000
P: 0.3691 0.3691 0.0000
P: 0.6309 0.6309 0.0000
Ru: 0.2500 0.7500 0.5000

Results
* size of the total moment: 0.00 μB/cell
* ΔH_f (0 K): -0.531 eV/atom
* symmetry: I-4m2 (119)